# 1
Entry from the Alexandria database: a geometry-optimized LiThH3 structure (GGA-PBE).

a b c (Å): 3.7084 3.7084 3.7084
angles (deg): 90.00 90.00 90.00
Last column: nearest neighbours and their distance in Å.
Positions (direct):
1 H 0.0000 0.0000 0.5000  2 Li 1.85
2 H 0.5000 0.0000 0.0000  2 Li 1.85
3 H 0.0000 0.5000 0.0000  2 Li 1.85
4 Li 0.0000 0.0000 0.0000  6 H 1.85
5 Th 0.5000 0.5000 0.5000  12 H 2.62

Fermi-level density of states in states/eV/f.u.: 1.03
E_tot in eV per cell: -20.75
E above lowest polymorph in eV per formula unit: 0.444


# 2
Entry from the Alexandria database: a geometry-optimized Rh2WBr structure (GGA-PBE).

a b c (Å): 4.7841 4.7841 4.8316
angles (deg): 84.83 84.83 35.82
Last column: nearest neighbours and their distance in Å.
Positions (direct):
1 Rh 0.9837 0.9837 0.0201  1 Br 2.60, 2 Rh 2.70, 3 W 2.73-2.76
2 Rh 0.5163 0.5163 0.4799  1 Br 2.60, 2 Rh 2.70, 3 W 2.73-2.76
3 Br 0.7500 0.7500 0.7500  2 Rh 2.60, 4 W 2.83
4 W 0.2500 0.2500 0.2500  6 Rh 2.73-2.76, 4 Br 2.83, 2 W 2.94

Uncorrected formation energy in eV/atom: 0.588
Fermi-level density of states in states/eV/f.u.: 5.20
E_tot in eV per cell: -26.98
E above lowest polymorph in eV per formula unit: 1.753


# 3
Entry from the Alexandria database: a geometry-optimized CeLuNiRh structure (GGA-PBE).

a b c (Å): 4.8221 4.8221 4.8221
angles (deg): 60.00 60.00 60.00
Last column: nearest neighbours and their distance in Å.
Positions (direct):
1 Rh 0.7500 0.7500 0.7500  4 Ce 2.95, 4 Lu 2.95
2 Ce 0.5000 0.5000 0.5000  4 Ni 2.95, 4 Rh 2.95
3 Lu 0.0000 0.0000 0.0000  4 Rh 2.95, 4 Ni 2.95
4 Ni 0.2500 0.2500 0.2500  4 Ce 2.95, 4 Lu 2.95

Fermi-level density of states in states/eV/f.u.: 6.61
Energy of formation in eV/atom: -0.565
E_tot in eV per cell: -25.85


# 4
Entry from the Alexandria database: a geometry-optimized Eu2TmRh structure (GGA-PBE).

a b c (Å): 3.6204 3.6204 10.8044
angles (deg): 80.36 80.36 60.00
Last column: nearest neighbours and their distance in Å.
Positions (direct):
1 Eu 0.8945 0.8945 0.3164  3 Rh 2.86
2 Eu 0.1055 0.1055 0.6836  3 Rh 2.86
3 Tm 0.0000 0.0000 0.0000  2 Eu 3.35, 6 Tm 3.62
4 Rh 0.5000 0.5000 0.5000  6 Eu 2.86

Fermi-level density of states in states/eV/f.u.: 10.16
Energy of formation in eV/atom: 0.072
E_tot in eV per cell: -32.08


# 5
Entry from the Alexandria database: a geometry-optimized LaPr7Mg4 structure (GGA-PBE).

a b c (Å): 5.9414 9.3675 8.3387
angles (deg): 68.18 69.13 71.51
Last column: nearest neighbours and their distance in Å.
Positions (direct):
1 Pr 0.7453 0.2904 0.2190  4 Mg 3.16-3.37, 1 La 3.48
2 Pr 0.8006 0.8783 0.5205  7 Pr 3.63-3.88, 3 Mg 3.65-3.70, 1 La 3.88
3 Pr 0.2547 0.7096 0.7810  4 Mg 3.16-3.37, 1 La 3.48
4 Pr 0.0808 0.5742 0.2641  5 Mg 3.26-3.59, 2 Pr 3.53-3.60
5 Pr 0.9192 0.4258 0.7359  5 Mg 3.26-3.59, 2 Pr 3.53-3.60
6 Pr 0.1994 0.1217 0.4795  7 Pr 3.63-3.88, 3 Mg 3.65-3.70, 1 La 3.88
7 Pr 0.5000 0.0000 0.0000  2 La 2.97, 2 Mg 3.08
8 Mg 0.6751 0.6551 0.9947  5 Pr 3.08-3.37, 1 Mg 3.13
9 Mg 0.3249 0.3449 0.0053  5 Pr 3.08-3.37, 1 Mg 3.13
10 Mg 0.5377 0.3050 0.6197  2 Mg 3.13-3.42, 4 Pr 3.16-3.38
11 Mg 0.4623 0.6950 0.3803  2 Mg 3.13-3.42, 4 Pr 3.16-3.38
12 La 0.0000 0.0000 0.0000  2 Pr 2.97

Fermi-level density of states in states/eV/f.u.: 13.75
Energy of formation in eV/atom: 0.106
E_tot in eV per cell: -43.49


# 6
Entry from the Alexandria database: a geometry-optimized Ba2AgCN structure (GGA-PBE).

a b c (Å): 6.0129 3.9360 6.0129
angles (deg): 90.00 90.00 90.00
Last column: nearest neighbours and their distance in Å.
Positions (direct):
1 C 0.5000 0.5000 0.5000  8 Ba 3.59, 2 C 3.94
2 N 0.0000 0.5000 0.0000  2 Ag 1.97
3 Ag 0.0000 0.0000 0.0000  2 N 1.97
4 Ba 0.0000 0.0000 0.5000  2 Ag 3.01
5 Ba 0.5000 0.0000 0.0000  2 Ag 3.01

Uncorrected formation energy in eV/atom: 1.183
Fermi-level density of states in states/eV/f.u.: 1.84
E_tot in eV per cell: -18.33


Question: The lowest E_tot belongs to which entry?
Answer: LaPr7Mg4